No. 1
VASP calculation (PBE) on a relaxed structure of MnReI3.

Values from the calculation:
The calculation puts the uncorrected formation energy at 1.06 eV/atom.

Lattice parameters (Å, degrees): 5.4537 5.4537 5.4537 90.00 90.00 90.00
Closest atoms and distances in Å follow each position.
Atoms (fractional coordinates):
1 I 0.5000 0.0000 0.0000  2 Re 2.73
2 I 0.0000 0.5000 0.0000  2 Re 2.73
3 I 0.0000 0.0000 0.5000  2 Re 2.73
4 Mn 0.5000 0.5000 0.5000  12 I 3.86
5 Re 0.0000 0.0000 0.0000  6 I 2.73

***

No. 2
VASP calculation (PBE) on a relaxed structure of MnRe3I.

Values from the calculation:
The calculation puts the uncorrected formation energy at 2.83 eV/atom.

Lattice parameters (Å, degrees): 4.7988 4.7988 4.7988 90.00 90.00 90.00
Closest atoms and distances in Å follow each position.
Atoms (fractional coordinates):
1 Re 0.0000 0.0000 0.5000  2 I 2.40
2 Re 0.5000 0.0000 0.0000  2 I 2.40
3 Re 0.0000 0.5000 0.0000  2 I 2.40
4 I 0.0000 0.0000 0.0000  6 Re 2.40
5 Mn 0.5000 0.5000 0.5000  12 Re 3.39

***

No. 3
VASP calculation (PBE) on a relaxed structure of MnReI2.

Values from the calculation:
The calculation puts the uncorrected formation energy at 1.43 eV/atom.

Lattice parameters (Å, degrees): 5.8489 5.8489 7.1567 65.88 65.88 90.00
Closest atoms and distances in Å follow each position.
Atoms (fractional coordinates):
1 I 0.3750 0.3916 0.7500  2 Mn 2.48, 2 Re 2.59
2 I 0.6084 0.1250 0.2500  2 Mn 2.48, 2 Re 2.59
3 I 0.8750 0.8584 0.7500  2 Mn 2.48, 2 Re 2.59
4 I 0.1416 0.6250 0.2500  2 Mn 2.48, 2 Re 2.59
5 Re 0.0000 0.0000 0.0000  4 I 2.59
6 Re 0.7500 0.2500 0.5000  4 I 2.59
7 Mn 0.5000 0.5000 0.0000  4 I 2.48
8 Mn 0.2500 0.7500 0.5000  4 I 2.48

***

No. 4
VASP calculation (PBE) on a relaxed structure of MnReRh2I.

Values from the calculation:
The calculation puts the uncorrected formation energy at 1.74 eV/atom.

Lattice parameters (Å, degrees): 4.4302 4.8728 4.4302 90.00 90.00 90.00
Closest atoms and distances in Å follow each position.
Atoms (fractional coordinates):
1 Rh 0.0000 0.0000 0.5000  2 Mn 2.22
2 Rh 0.5000 0.0000 0.0000  2 Mn 2.22
3 Mn 0.0000 0.0000 0.0000  4 Rh 2.22, 2 I 2.44
4 I 0.0000 0.5000 0.0000  2 Mn 2.44
5 Re 0.5000 0.5000 0.5000  4 I 3.13, 8 Rh 3.29

***

no.,Fermi-level density of states (states/eV per cell),raw total energy (eV/cell),volume (A^3/atom)
1,9.2,-20.992,32.44
2,3.4,-33.930,22.10
3,11.4,-38.035,24.98
4,6.6,-29.165,19.13